DFT (PBE) results for a relaxed structure of Pm2Hg2Sb.

```
Pm2Hg2Sb
1.0
-1.472 -5.090 2.234
2.844 -4.321 2.512
-0.792 2.305 5.925
Hg Pm Sb
2 2 1
direct
0.106 0.606 0.329
0.894 0.394 0.671
0.187 0.687 0.788
0.813 0.313 0.212
0.500 0.000 0.000
```

Calculated values
VASP energy	-3.379	eV/atom
M_tot	0.000	μB/atom
volume	149.1	Å³ per cell
space group	C2/m (12)
ρ	9.05	g cm⁻³
ΔE_f (raw)	-0.5335	eV per atom